No. 1
Material: HgP2Cl
Method: DFT, meta-GGA SCAN
State: PBEsol geometry

Values from the calculation:
Total DFT energy (no corrections) ... -23.73 eV/atom
Energy above the lowest structure with this stoichiometry ... 332.9 meV/atom
Space group ... R-3m, No. 166

Cell lengths 3.8933, 3.8933, 6.5545 Å; angles 72.72, 72.72, 60.00 degrees
Last column: nearest neighbours and their distance in Å.
Fractional positions:
Cl  0.0000  0.0000  0.0000  6 P 2.92
Hg  0.5000  0.5000  0.5000  6 P 2.55
P  0.2324  0.2324  0.3029  3 Hg 2.55
P  0.7676  0.7676  0.6971  3 Hg 2.55


No. 2
Material: HgP2Cl
Method: DFT, meta-GGA SCAN
State: PBEsol geometry

Values from the calculation:
Total DFT energy (no corrections) ... -24.06 eV/atom
Energy above the lowest structure with this stoichiometry ... 0.0 meV/atom
Space group ... C2/m, No. 12

Cell lengths 3.2402, 4.4328, 6.6476 Å; angles 101.44, 104.11, 90.00 degrees
Last column: nearest neighbours and their distance in Å.
Fractional positions:
Cl  0.0000  0.5000  0.0000  4 Hg 2.75
Hg  0.5000  0.0000  0.0000  4 Cl 2.75
P  0.7780  0.8792  0.5559  2 P 2.15
P  0.2220  0.1208  0.4441  2 P 2.15


No. 3
Material: HgPCl2
Method: DFT, meta-GGA SCAN
State: PBEsol geometry

Values from the calculation:
Total DFT energy (no corrections) ... -23.75 eV/atom
Energy above the lowest structure with this stoichiometry ... 120.4 meV/atom
Space group ... P2/m, No. 10

Cell lengths 3.0874, 3.3203, 9.1111 Å; angles 90.00, 90.28, 90.00 degrees
Last column: nearest neighbours and their distance in Å.
Fractional positions:
Cl  0.0044  0.0000  0.1865  2 P 2.38
Cl  0.9956  0.0000  0.8135  2 P 2.38
Hg  0.5000  0.5000  0.5000  4 Hg 3.09-3.32
P  0.0000  0.5000  0.0000  4 Cl 2.38


No. 4
Material: HgP2Cl
Method: DFT, meta-GGA SCAN
State: PBEsol geometry

Values from the calculation:
Total DFT energy (no corrections) ... -24.01 eV/atom
Energy above the lowest structure with this stoichiometry ... 51.2 meV/atom
Space group ... Cmm2, No. 35

Cell lengths 3.2978, 3.8989, 8.4077 Å; angles 90.00, 90.00, 115.02 degrees
Last column: nearest neighbours and their distance in Å.
Fractional positions:
Cl  0.0000  0.0000  0.5216  2 Hg 2.59
Hg  0.5000  0.0000  0.7595  2 Cl 2.59, 2 P 2.79
P  0.0000  0.0000  0.0273  2 P 2.15
P  0.5000  0.0000  0.1915  2 P 2.15


No. 5
Material: Hg6P4PbCl6
Method: DFT, meta-GGA SCAN
State: PBEsol geometry

Values from the calculation:
Total DFT energy (no corrections) ... -34.33 eV/atom
Space group ... P2_13, No. 198

Cell lengths 11.8934, 11.8934, 11.8934 Å; angles 90.00, 90.00, 90.00 degrees
Last column: nearest neighbours and their distance in Å.
Fractional positions:
Hg  0.2814  0.9860  0.7739  2 P 2.45
Hg  0.2261  0.7814  0.5140  2 P 2.45
Hg  0.4860  0.7261  0.7186  2 P 2.45
Hg  0.7814  0.5140  0.2261  2 P 2.45
Hg  0.7261  0.7186  0.4860  2 P 2.45
Hg  0.9860  0.7739  0.2814  2 P 2.45
Hg  0.7186  0.4860  0.7261  2 P 2.45
Hg  0.7739  0.2814  0.9860  2 P 2.45
Hg  0.5140  0.2261  0.7814  2 P 2.45
Hg  0.2186  0.0140  0.2739  2 P 2.45
Hg  0.2739  0.2186  0.0140  2 P 2.45
Hg  0.0140  0.2739  0.2186  2 P 2.45
Hg  0.9875  0.7320  0.7806  2 P 2.44
Hg  0.2194  0.4875  0.7680  2 P 2.44
Hg  0.2320  0.7194  0.0125  2 P 2.44
Hg  0.4875  0.7680  0.2194  2 P 2.44
Hg  0.7194  0.0125  0.2320  2 P 2.44
Hg  0.7320  0.7806  0.9875  2 P 2.44
Hg  0.0125  0.2320  0.7194  2 P 2.44
Hg  0.7806  0.9875  0.7320  2 P 2.44
Hg  0.7680  0.2194  0.4875  2 P 2.44
Hg  0.5125  0.2680  0.2806  2 P 2.44
Hg  0.2806  0.5125  0.2680  2 P 2.44
Hg  0.2680  0.2806  0.5125  2 P 2.44
P  0.2903  0.7903  0.7097  1 P 2.19
P  0.7903  0.7097  0.2903  1 P 2.19
P  0.7097  0.2903  0.7903  1 P 2.19
P  0.2097  0.2097  0.2097  1 P 2.19
P  0.1841  0.6841  0.8159  1 P 2.19, 3 Hg 2.44
P  0.6841  0.8159  0.1841  1 P 2.19, 3 Hg 2.44
P  0.8159  0.1841  0.6841  1 P 2.19, 3 Hg 2.44
P  0.3159  0.3159  0.3159  1 P 2.19, 3 Hg 2.44
P  0.8147  0.3147  0.1853  1 P 2.18
P  0.3147  0.1853  0.8147  1 P 2.18
P  0.1853  0.8147  0.3147  1 P 2.18
P  0.6853  0.6853  0.6853  1 P 2.18
P  0.7090  0.2090  0.2910  1 P 2.18
P  0.2090  0.2910  0.7090  1 P 2.18
P  0.2910  0.7090  0.2090  1 P 2.18
P  0.7910  0.7910  0.7910  1 P 2.18
Pb  0.4795  0.9795  0.5205  6 Cl 2.78-2.98
Pb  0.9795  0.5205  0.4795  6 Cl 2.78-2.98
Pb  0.5205  0.4795  0.9795  6 Cl 2.78-2.98
Pb  0.0205  0.0205  0.0205  6 Cl 2.78-2.98
Cl  0.0405  0.9859  0.7899  1 Pb 2.78, 3 Hg 2.87-3.09
Cl  0.2101  0.5405  0.5141  1 Pb 2.78, 3 Hg 2.87-3.09
Cl  0.4859  0.7101  0.9595  1 Pb 2.78, 3 Hg 2.87-3.09
Cl  0.5405  0.5141  0.2101  1 Pb 2.78, 3 Hg 2.87-3.09
Cl  0.7101  0.9595  0.4859  1 Pb 2.78, 3 Hg 2.87-3.09
Cl  0.9859  0.7899  0.0405  1 Pb 2.78, 3 Hg 2.87-3.09
Cl  0.9595  0.4859  0.7101  1 Pb 2.78, 3 Hg 2.87-3.09
Cl  0.7899  0.0405  0.9859  1 Pb 2.78, 3 Hg 2.87-3.09
Cl  0.5141  0.2101  0.5405  1 Pb 2.78, 3 Hg 2.87-3.09
Cl  0.4595  0.0141  0.2899  1 Pb 2.78, 3 Hg 2.87-3.09
Cl  0.2899  0.4595  0.0141  1 Pb 2.78, 3 Hg 2.87-3.09
Cl  0.0141  0.2899  0.4595  1 Pb 2.78, 3 Hg 2.87-3.09
Cl  0.2629  0.9557  0.0174  4 Hg 2.83-3.17, 1 Pb 2.98
Cl  0.9826  0.7629  0.5443  4 Hg 2.83-3.17, 1 Pb 2.98
Cl  0.4557  0.4826  0.7371  4 Hg 2.83-3.17, 1 Pb 2.98
Cl  0.7629  0.5443  0.9826  4 Hg 2.83-3.17, 1 Pb 2.98
Cl  0.4826  0.7371  0.4557  4 Hg 2.83-3.17, 1 Pb 2.98
Cl  0.9557  0.0174  0.2629  4 Hg 2.83-3.17, 1 Pb 2.98
Cl  0.7371  0.4557  0.4826  4 Hg 2.83-3.17, 1 Pb 2.98
Cl  0.0174  0.2629  0.9557  4 Hg 2.83-3.17, 1 Pb 2.98
Cl  0.5443  0.9826  0.7629  4 Hg 2.83-3.17, 1 Pb 2.98
Cl  0.2371  0.0443  0.5174  4 Hg 2.83-3.17, 1 Pb 2.98
Cl  0.5174  0.2371  0.0443  4 Hg 2.83-3.17, 1 Pb 2.98
Cl  0.0443  0.5174  0.2371  4 Hg 2.83-3.17, 1 Pb 2.98


No. 6
Material: HgPPtCl2
Method: DFT, meta-GGA SCAN
State: PBEsol geometry

Values from the calculation:
Total DFT energy (no corrections) ... -31.82 eV/atom
Space group ... P4/mmm, No. 123

Cell lengths 4.8761, 4.8761, 5.1346 Å; angles 90.00, 90.00, 90.00 degrees
Last column: nearest neighbours and their distance in Å.
Fractional positions:
P  0.0000  0.0000  0.5000  2 Hg 2.57
Hg  0.0000  0.0000  0.0000  4 Cl 2.44, 2 P 2.57
Pt  0.5000  0.5000  0.5000  4 P 3.45, 8 Cl 3.54
Cl  0.0000  0.5000  0.0000  2 Hg 2.44
Cl  0.5000  0.0000  0.0000  2 Hg 2.44


No. 7
Material: HgPSCl2
Method: DFT, meta-GGA SCAN
State: PBEsol geometry

Values from the calculation:
Total DFT energy (no corrections) ... -20.36 eV/atom
Energy above the lowest structure with this stoichiometry ... 0.0 meV/atom
Space group ... P4/mmm, No. 123

Cell lengths 4.8230, 4.6565, 4.6565 Å; angles 90.00, 90.00, 90.00 degrees
Last column: nearest neighbours and their distance in Å.
Fractional positions:
P  0.5000  0.0000  0.0000  2 S 2.41
S  0.0000  0.0000  0.0000  4 Cl 2.33, 2 P 2.41
Hg  0.5000  0.5000  0.5000  4 P 3.29, 8 Cl 3.35
Cl  0.0000  0.0000  0.5000  2 S 2.33
Cl  0.0000  0.5000  0.0000  2 S 2.33


No. 8
Material: HgPSCl2
Method: DFT, meta-GGA SCAN
State: PBEsol geometry

Values from the calculation:
Total DFT energy (no corrections) ... -20.08 eV/atom
Energy above the lowest structure with this stoichiometry ... 276.3 meV/atom
Space group ... P4/mmm, No. 123

Cell lengths 4.9705, 4.9705, 5.1820 Å; angles 90.00, 90.00, 90.00 degrees
Last column: nearest neighbours and their distance in Å.
Fractional positions:
P  0.0000  0.0000  0.5000  2 Hg 2.59
S  0.5000  0.5000  0.5000  4 P 3.51, 8 Cl 3.59
Hg  0.0000  0.0000  0.0000  4 Cl 2.49, 2 P 2.59
Cl  0.0000  0.5000  0.0000  2 Hg 2.49
Cl  0.5000  0.0000  0.0000  2 Hg 2.49


No. 9
Material: HgSbPCl2
Method: DFT, meta-GGA SCAN
State: PBEsol geometry

Values from the calculation:
Total DFT energy (no corrections) ... -26.22 eV/atom
Space group ... P4/mmm, No. 123

Cell lengths 5.1030, 5.1030, 5.2411 Å; angles 90.00, 90.00, 90.00 degrees
Last column: nearest neighbours and their distance in Å.
Fractional positions:
Sb  0.0000  0.0000  0.0000  4 Cl 2.55, 2 P 2.62
Hg  0.5000  0.5000  0.5000  4 P 3.61, 8 Cl 3.66
P  0.0000  0.0000  0.5000  2 Sb 2.62
Cl  0.0000  0.5000  0.0000  2 Sb 2.55
Cl  0.5000  0.0000  0.0000  2 Sb 2.55


No. 10
Material: TiHg6P4Cl7
Method: DFT, meta-GGA SCAN
State: PBEsol geometry

Values from the calculation:
Total DFT energy (no corrections) ... -29.76 eV/atom
Space group ... Pa-3, No. 205

Cell lengths 11.7363, 11.7363, 11.7363 Å; angles 90.00, 90.00, 90.00 degrees
Last column: nearest neighbours and their distance in Å.
Fractional positions:
Ti  0.0000  0.0000  0.5000  6 Cl 2.39
Ti  0.5000  0.0000  0.0000  6 Cl 2.39
Ti  0.5000  0.5000  0.5000  6 Cl 2.39
Ti  0.0000  0.5000  0.0000  6 Cl 2.39
Hg  0.0428  0.6896  0.3005  2 P 2.44
Hg  0.1896  0.3005  0.4572  2 P 2.44
Hg  0.8104  0.6995  0.5428  2 P 2.44
Hg  0.4572  0.1896  0.3005  2 P 2.44
Hg  0.0428  0.8104  0.8005  2 P 2.44
Hg  0.3104  0.6995  0.9572  2 P 2.44
Hg  0.6896  0.3005  0.0428  2 P 2.44
Hg  0.9572  0.1896  0.1995  2 P 2.44
Hg  0.8005  0.4572  0.3104  2 P 2.44
Hg  0.9572  0.3104  0.6995  2 P 2.44
Hg  0.5428  0.6896  0.1995  2 P 2.44
Hg  0.5428  0.8104  0.6995  2 P 2.44
Hg  0.8104  0.8005  0.0428  2 P 2.44
Hg  0.6995  0.5428  0.8104  2 P 2.44
Hg  0.6896  0.1995  0.5428  2 P 2.44
Hg  0.3005  0.4572  0.1896  2 P 2.44
Hg  0.1896  0.1995  0.9572  2 P 2.44
Hg  0.3005  0.0428  0.6896  2 P 2.44
Hg  0.8005  0.0428  0.8104  2 P 2.44
Hg  0.3104  0.8005  0.4572  2 P 2.44
Hg  0.6995  0.9572  0.3104  2 P 2.44
Hg  0.1995  0.5428  0.6896  2 P 2.44
Hg  0.1995  0.9572  0.1896  2 P 2.44
Hg  0.4572  0.3104  0.8005  2 P 2.44
P  0.2330  0.7670  0.2670  1 P 2.21, 3 Hg 2.44
P  0.6584  0.1584  0.3416  1 P 2.21, 3 Hg 2.44
P  0.3416  0.6584  0.1584  1 P 2.21, 3 Hg 2.44
P  0.7330  0.7330  0.7330  1 P 2.21, 3 Hg 2.44
P  0.2330  0.7330  0.7670  1 P 2.21, 3 Hg 2.44
P  0.3416  0.8416  0.6584  1 P 2.21, 3 Hg 2.44
P  0.7670  0.2330  0.7330  1 P 2.21, 3 Hg 2.44
P  0.8416  0.6584  0.3416  1 P 2.21, 3 Hg 2.44
P  0.2670  0.2670  0.2670  1 P 2.21, 3 Hg 2.44
P  0.7330  0.7670  0.2330  1 P 2.21, 3 Hg 2.44
P  0.6584  0.3416  0.8416  1 P 2.21, 3 Hg 2.44
P  0.1584  0.3416  0.6584  1 P 2.21, 3 Hg 2.44
P  0.7670  0.2670  0.2330  1 P 2.21, 3 Hg 2.44
P  0.8416  0.8416  0.8416  1 P 2.21, 3 Hg 2.44
P  0.2670  0.2330  0.7670  1 P 2.21, 3 Hg 2.44
P  0.1584  0.1584  0.1584  1 P 2.21, 3 Hg 2.44
Cl  0.5459  0.6945  0.4611  1 Ti 2.39
Cl  0.3055  0.9611  0.9541  1 Ti 2.39
Cl  0.4541  0.3055  0.5389  1 Ti 2.39
Cl  0.5000  0.0000  0.5000  2 P 3.22, 6 Hg 3.27
Cl  0.5389  0.4541  0.3055  1 Ti 2.39
Cl  0.6945  0.4611  0.5459  1 Ti 2.39
Cl  0.8055  0.9611  0.5459  1 Ti 2.39
Cl  0.9541  0.1945  0.4611  1 Ti 2.39
Cl  0.8055  0.5389  0.0459  1 Ti 2.39
Cl  0.0000  0.0000  0.0000  2 P 3.22, 6 Hg 3.27
Cl  0.4541  0.1945  0.0389  1 Ti 2.39
Cl  0.5459  0.8055  0.9611  1 Ti 2.39
Cl  0.4611  0.9541  0.1945  1 Ti 2.39
Cl  0.9611  0.5459  0.8055  1 Ti 2.39
Cl  0.0459  0.6945  0.0389  1 Ti 2.39
Cl  0.0389  0.4541  0.1945  1 Ti 2.39
Cl  0.5389  0.0459  0.8055  1 Ti 2.39
Cl  0.0000  0.5000  0.5000  2 P 3.22, 6 Hg 3.27
Cl  0.9541  0.3055  0.9611  1 Ti 2.39
Cl  0.3055  0.5389  0.4541  1 Ti 2.39
Cl  0.9611  0.9541  0.3055  1 Ti 2.39
Cl  0.4611  0.5459  0.6945  1 Ti 2.39
Cl  0.5000  0.5000  0.0000  2 P 3.22, 6 Hg 3.27
Cl  0.0389  0.0459  0.6945  1 Ti 2.39
Cl  0.1945  0.4611  0.9541  1 Ti 2.39
Cl  0.0459  0.8055  0.5389  1 Ti 2.39
Cl  0.1945  0.0389  0.4541  1 Ti 2.39
Cl  0.6945  0.0389  0.0459  1 Ti 2.39


Among the records above, which one has the highest total DFT energy (no corrections)?
number 8


Which of these has the lowest total DFT energy (no corrections)?
Hg6P4PbCl6


Look up the total DFT energy (no corrections) of the third one.
-23.75 eV/atom